No. 1
## Tl3In2I8 (PBE)

Data for a geometry-optimized Tl3In2I8 structure.

Results
energy relative to the elements, uncorrected = -6.9 eV/f.u.
volume = 50.2 Å³ per atom
magnetic moment = 0.00 μB per cell

Unit cell a=16.615 b=9.782 c=8.555 alpha=90.00 beta=110.07 gamma=90.00
Space group C2/m (No. 12)
Asymmetric unit:
Tl1 0.000 0.000 0.000 (multiplicity 2)
Tl2 0.000 0.274 0.500 (multiplicity 4)
In1 0.188 0.500 0.138 (multiplicity 4)
I1 0.126 0.000 0.737 (multiplicity 4)
I2 0.130 0.258 0.250 (multiplicity 8)
I3 0.138 0.500 0.785 (multiplicity 4)

No. 2
## Ca3Ni (PBE)

Data for a geometry-optimized Ca3Ni structure.

Results
volume = 29.6 Å³ per atom
magnetic moment = 0.00 μB per cell
formation energy = -0.0326 eV/atom

Unit cell a=12.201 b=12.201 c=6.353 alpha=90.00 beta=90.00 gamma=90.00
Space group P4_2/n (No. 86, origin choice 2)
Asymmetric unit:
Ca1 0.031 0.583 0.212 (multiplicity 8)
Ca2 0.120 0.204 0.014 (multiplicity 8)
Ca3 0.127 0.667 0.706 (multiplicity 8)
Ni1 0.038 0.197 0.547 (multiplicity 8)

Which of these has the highest volume?
Tl3In2I8

What did the first record say?
## Tl3In2I8 (PBE)

Data for a geometry-optimized Tl3In2I8 structure.

Results
energy relative to the elements, uncorrected = -6.9 eV/f.u.
volume = 50.2 Å³ per atom
magnetic moment = 0.00 μB per cell

Unit cell a=16.615 b=9.782 c=8.555 alpha=90.00 beta=110.07 gamma=90.00
Space group C2/m (No. 12)
Asymmetric unit:
Tl1 0.000 0.000 0.000 (multiplicity 2)
Tl2 0.000 0.274 0.500 (multiplicity 4)
In1 0.188 0.500 0.138 (multiplicity 4)
I1 0.126 0.000 0.737 (multiplicity 4)
I2 0.130 0.258 0.250 (multiplicity 8)
I3 0.138 0.500 0.785 (multiplicity 4)